1.
# V4C PBE relaxed
data_V4C
_chemical_formula_sum 'V4 C1'
_cell_length_a 3.974
_cell_length_b 3.974
_cell_length_c 3.974
_cell_angle_alpha 90.00
_cell_angle_beta 90.00
_cell_angle_gamma 90.00
_space_group_name_H-M_alt 'P m -3 m'
_space_group_IT_number 221
_space_group_name_Hall '-P 4 2 3'
loop_
_atom_site_label
_atom_site_type_symbol
_atom_site_fract_x
_atom_site_fract_y
_atom_site_fract_z
V1 V 0.000 0.000 0.000
V2 V 0.000 0.500 0.500
C1 C 0.500 0.500 0.500
# Fermi-level density of states in states/eV/cell: 6.38
# ΔE_f in kJ/mol of atoms: -9.84
# VASP energy in eV/atom: -9.242
# ΔE to the lowest computed polymorph in meV/atom: 88


2.
# Er6Si2PbSe3 PBE relaxed
data_Er6Si2PbSe3
_chemical_formula_sum 'Er12 Si4 Pb2 Se6'
_cell_length_a 18.081
_cell_length_b 4.096
_cell_length_c 8.371
_cell_angle_alpha 90.00
_cell_angle_beta 103.50
_cell_angle_gamma 90.00
_space_group_name_H-M_alt 'C 1 2/m 1'
_space_group_IT_number 12
_space_group_name_Hall '-C 2y'
loop_
_atom_site_label
_atom_site_type_symbol
_atom_site_fract_x
_atom_site_fract_y
_atom_site_fract_z
Er1 Er 0.005 0.000 0.265
Er2 Er 0.172 0.500 0.101
Er3 Er 0.172 0.500 0.574
Si1 Si 0.167 0.000 0.335
Pb1 Pb 0.000 0.500 0.000
Se1 Se 0.000 0.500 0.500
Se2 Se 0.165 0.000 0.832
# Fermi-level density of states in states/eV/cell: 5.90
# Uncorrected formation energy in eV/atom: -1.1984
# VASP energy in eV/atom: -5.564


3.
# TiVTcMo PBE relaxed
data_TiVTcMo
_chemical_formula_sum 'Ti1 V1 Tc1 Mo1'
_cell_length_a 2.879
_cell_length_b 2.944
_cell_length_c 7.573
_cell_angle_alpha 90.00
_cell_angle_beta 90.00
_cell_angle_gamma 90.00
_space_group_name_H-M_alt 'P m m 2'
_space_group_IT_number 25
_space_group_name_Hall 'P 2 -2'
loop_
_atom_site_label
_atom_site_type_symbol
_atom_site_fract_x
_atom_site_fract_y
_atom_site_fract_z
Ti1 Ti 0.000 0.000 0.000
V1 V 0.000 0.000 0.425
Tc1 Tc 0.500 0.500 0.230
Mo1 Mo 0.000 0.500 0.702
# Fermi-level density of states in states/eV/cell: 5.19
# ΔE_f in kJ/mol of atoms: 29.40
# VASP energy in eV/atom: -9.248
# ΔE to the lowest computed polymorph in meV/atom: 575


4.
# YW3 PBE relaxed
data_YW3
_chemical_formula_sum 'Y1 W3'
_cell_length_a 4.891
_cell_length_b 4.891
_cell_length_c 4.891
_cell_angle_alpha 90.00
_cell_angle_beta 90.00
_cell_angle_gamma 90.00
_space_group_name_H-M_alt 'P m -3 m'
_space_group_IT_number 221
_space_group_name_Hall '-P 4 2 3'
loop_
_atom_site_label
_atom_site_type_symbol
_atom_site_fract_x
_atom_site_fract_y
_atom_site_fract_z
Y1 Y 0.000 0.000 0.000
W1 W 0.000 0.000 0.500
# Fermi-level density of states in states/eV/cell: 8.61
# ΔE_f in kJ/mol of atoms: 421.74
# VASP energy in eV/atom: -6.960
# ΔE to the lowest computed polymorph in meV/atom: 3983


5.
# Hf3ZnAu PBE relaxed
data_Hf3ZnAu
_chemical_formula_sum 'Hf24 Zn8 Au8'
_cell_length_a 11.692
_cell_length_b 9.224
_cell_length_c 8.628
_cell_angle_alpha 90.00
_cell_angle_beta 120.45
_cell_angle_gamma 90.00
_space_group_name_H-M_alt 'C 1 2/c 1'
_space_group_IT_number 15
_space_group_name_Hall '-C 2yc'
loop_
_atom_site_label
_atom_site_type_symbol
_atom_site_fract_x
_atom_site_fract_y
_atom_site_fract_z
Hf1 Hf 0.118 0.158 0.113
Hf2 Hf 0.163 0.492 0.084
Hf3 Hf 0.185 0.158 0.564
Zn1 Zn 0.122 0.300 0.798
Au1 Au 0.000 0.034 0.750
Au2 Au 0.000 0.372 0.250
# Fermi-level density of states in states/eV/cell: 35.65
# ΔE_f in kJ/mol of atoms: -9.59
# VASP energy in eV/atom: -6.982
# ΔE to the lowest computed polymorph in meV/atom: 0


6.
# CeEr6Tm4 PBE relaxed
data_CeEr6Tm4
_chemical_formula_sum 'Ce2 Er12 Tm8'
_cell_length_a 7.463
_cell_length_b 7.463
_cell_length_c 13.183
_cell_angle_alpha 90.00
_cell_angle_beta 90.00
_cell_angle_gamma 90.00
_space_group_name_H-M_alt 'I -4 2 m'
_space_group_IT_number 121
_space_group_name_Hall 'I -4 2'
loop_
_atom_site_label
_atom_site_type_symbol
_atom_site_fract_x
_atom_site_fract_y
_atom_site_fract_z
Ce1 Ce 0.000 0.000 0.000
Er1 Er 0.000 0.500 0.000
Er2 Er 0.237 0.237 0.184
Tm1 Tm 0.162 0.162 0.420
# Fermi-level density of states in states/eV/cell: 41.55
# ΔE_f in kJ/mol of atoms: 46.96
# VASP energy in eV/atom: -4.168
# ΔE to the lowest computed polymorph in meV/atom: 342


7.
# LaNi2 PBE relaxed
data_LaNi2
_chemical_formula_sum 'La4 Ni8'
_cell_length_a 4.945
_cell_length_b 4.945
_cell_length_c 8.968
_cell_angle_alpha 90.00
_cell_angle_beta 90.00
_cell_angle_gamma 90.00
_space_group_name_H-M_alt 'I 4/m c m'
_space_group_IT_number 140
_space_group_name_Hall '-I 4 2c'
loop_
_atom_site_label
_atom_site_type_symbol
_atom_site_fract_x
_atom_site_fract_y
_atom_site_fract_z
La1 La 0.000 0.000 0.250
Ni1 Ni 0.175 0.325 0.000
# Fermi-level density of states in states/eV/cell: 13.20
# ΔE_f in kJ/mol of atoms: -17.23
# VASP energy in eV/atom: -5.675


8.
# La3Ga3Cu2 PBE relaxed
data_La3Ga3Cu2
_chemical_formula_sum 'La12 Ga12 Cu8'
_cell_length_a 4.577
_cell_length_b 10.574
_cell_length_c 15.314
_cell_angle_alpha 90.00
_cell_angle_beta 90.00
_cell_angle_gamma 90.00
_space_group_name_H-M_alt 'C m c m'
_space_group_IT_number 63
_space_group_name_Hall '-C 2c 2'
loop_
_atom_site_label
_atom_site_type_symbol
_atom_site_fract_x
_atom_site_fract_y
_atom_site_fract_z
La1 La 0.000 0.109 0.106
La2 La 0.000 0.391 0.250
Ga1 Ga 0.000 0.312 0.750
Ga2 Ga 0.000 0.389 0.039
Cu1 Cu 0.000 0.193 0.598
# Fermi-level density of states in states/eV/cell: 30.23
# ΔE_f in kJ/mol of atoms: -47.12
# VASP energy in eV/atom: -4.495


9.
# Nd5HoSb4 PBE relaxed
data_Nd5HoSb4
_chemical_formula_sum 'Nd10 Ho2 Sb8'
_cell_length_a 19.156
_cell_length_b 4.397
_cell_length_c 8.668
_cell_angle_alpha 90.00
_cell_angle_beta 105.00
_cell_angle_gamma 90.00
_space_group_name_H-M_alt 'C 1 2/m 1'
_space_group_IT_number 12
_space_group_name_Hall '-C 2y'
loop_
_atom_site_label
_atom_site_type_symbol
_atom_site_fract_x
_atom_site_fract_y
_atom_site_fract_z
Nd1 Nd 0.000 0.000 0.000
Nd2 Nd 0.165 0.500 0.327
Nd3 Nd 0.173 0.500 0.848
Ho1 Ho 0.000 0.000 0.500
Sb1 Sb 0.005 0.500 0.748
Sb2 Sb 0.167 0.000 0.587
# Fermi-level density of states in states/eV/cell: 13.68
# Uncorrected formation energy in eV/atom: -0.7851
# VASP energy in eV/atom: -5.276


10.
# Tm2Zr4Cd PBE relaxed
data_Tm2Zr4Cd
_chemical_formula_sum 'Tm4 Zr8 Cd2'
_cell_length_a 3.216
_cell_length_b 33.744
_cell_length_c 3.215
_cell_angle_alpha 90.00
_cell_angle_beta 90.00
_cell_angle_gamma 90.00
_space_group_name_H-M_alt 'C m m m'
_space_group_IT_number 65
_space_group_name_Hall '-C 2 2'
loop_
_atom_site_label
_atom_site_type_symbol
_atom_site_fract_x
_atom_site_fract_y
_atom_site_fract_z
Tm1 Tm 0.000 0.202 0.000
Zr1 Zr 0.000 0.065 0.000
Zr2 Zr 0.000 0.368 0.500
Cd1 Cd 0.000 0.500 0.500
# Fermi-level density of states in states/eV/cell: 18.22
# ΔE_f in kJ/mol of atoms: 3.10
# VASP energy in eV/atom: -6.261


11.
# HgIr2Cl PBE relaxed
data_HgIr2Cl
_chemical_formula_sum 'Hg1 Ir2 Cl1'
_cell_length_a 2.950
_cell_length_b 2.950
_cell_length_c 8.735
_cell_angle_alpha 90.00
_cell_angle_beta 90.00
_cell_angle_gamma 90.00
_space_group_name_H-M_alt 'P 4 m m'
_space_group_IT_number 99
_space_group_name_Hall 'P 4 -2'
loop_
_atom_site_label
_atom_site_type_symbol
_atom_site_fract_x
_atom_site_fract_y
_atom_site_fract_z
Hg1 Hg 0.000 0.000 0.000
Ir1 Ir 0.000 0.000 0.435
Ir2 Ir 0.500 0.500 0.254
Cl1 Cl 0.500 0.500 0.643
# Fermi-level density of states in states/eV/cell: 3.92
# Uncorrected formation energy in eV/atom: 0.4806
# VASP energy in eV/atom: -4.487
# ΔE to the lowest computed polymorph in meV/atom: 174


12.
# SrAsAu2 PBE relaxed
data_SrAsAu2
_chemical_formula_sum 'Sr1 As1 Au2'
_cell_length_a 3.800
_cell_length_b 3.800
_cell_length_c 6.855
_cell_angle_alpha 90.00
_cell_angle_beta 90.00
_cell_angle_gamma 90.00
_space_group_name_H-M_alt 'P 4 m m'
_space_group_IT_number 99
_space_group_name_Hall 'P 4 -2'
loop_
_atom_site_label
_atom_site_type_symbol
_atom_site_fract_x
_atom_site_fract_y
_atom_site_fract_z
Sr1 Sr 0.000 0.000 0.000
As1 As 0.500 0.500 0.372
Au1 Au 0.000 0.000 0.452
Au2 Au 0.500 0.500 0.756
# Fermi-level density of states in states/eV/cell: 2.31
# ΔE_f in kJ/mol of atoms: -30.42
# VASP energy in eV/atom: -3.537


13.
# KNaAu PBE relaxed
data_KNaAu
_chemical_formula_sum 'K12 Na12 Au12'
_cell_length_a 9.679
_cell_length_b 14.254
_cell_length_c 8.317
_cell_angle_alpha 90.00
_cell_angle_beta 90.00
_cell_angle_gamma 90.00
_space_group_name_H-M_alt 'I m a 2'
_space_group_IT_number 46
_space_group_name_Hall 'I 2 -2a'
loop_
_atom_site_label
_atom_site_type_symbol
_atom_site_fract_x
_atom_site_fract_y
_atom_site_fract_z
K1 K 0.250 0.000 0.000
K2 K 0.250 0.208 0.625
K3 K 0.250 0.709 0.126
Na1 Na 0.000 0.000 0.659
Na2 Na 0.001 0.121 0.295
Au1 Au 0.000 0.167 0.917
Au2 Au 0.250 0.501 0.916
# Fermi-level density of states in states/eV/cell: 16.36
# ΔE_f in kJ/mol of atoms: -23.41
# VASP energy in eV/atom: -2.141


14.
# La4ScRu PBE relaxed
data_La4ScRu
_chemical_formula_sum 'La16 Sc4 Ru4'
_cell_length_a 8.902
_cell_length_b 8.902
_cell_length_c 8.902
_cell_angle_alpha 90.00
_cell_angle_beta 90.00
_cell_angle_gamma 90.00
_space_group_name_H-M_alt 'F -4 3 m'
_space_group_IT_number 216
_space_group_name_Hall 'F -4 2 3'
loop_
_atom_site_label
_atom_site_type_symbol
_atom_site_fract_x
_atom_site_fract_y
_atom_site_fract_z
La1 La 0.123 0.123 0.123
Sc1 Sc 0.000 0.000 0.500
Ru1 Ru 0.250 0.250 0.750
# Fermi-level density of states in states/eV/cell: 45.54
# ΔE_f in kJ/mol of atoms: 69.81
# VASP energy in eV/atom: -5.163


15.
# CdAgGe2S6 PBE relaxed
data_CdAgGe2S6
_chemical_formula_sum 'Cd4 Ag4 Ge8 S24'
_cell_length_a 12.716
_cell_length_b 11.738
_cell_length_c 6.557
_cell_angle_alpha 90.00
_cell_angle_beta 109.65
_cell_angle_gamma 90.00
_space_group_name_H-M_alt 'C 1 2/c 1'
_space_group_IT_number 15
_space_group_name_Hall '-C 2yc'
loop_
_atom_site_label
_atom_site_type_symbol
_atom_site_fract_x
_atom_site_fract_y
_atom_site_fract_z
Cd1 Cd 0.000 0.135 0.250
Ag1 Ag 0.000 0.268 0.750
Ge1 Ge 0.204 0.419 0.263
S1 S 0.112 0.079 0.649
S2 S 0.128 0.435 0.531
S3 S 0.141 0.250 0.111
# Fermi-level density of states in states/eV/cell: 24.22
# Uncorrected formation energy in eV/atom: -0.2106
# VASP energy in eV/atom: -3.987


16.
# ErSc2Zn2Sn2 PBE relaxed
data_ErSc2Zn2Sn2
_chemical_formula_sum 'Er3 Sc6 Zn6 Sn6'
_cell_length_a 4.6698
_cell_length_b 4.6698
_cell_length_c 24.8238
_cell_angle_alpha 90.00
_cell_angle_beta 90.00
_cell_angle_gamma 120.00
_space_group_name_H-M_alt 'R -3 m'
_space_group_IT_number 166
_space_group_name_Hall '-R 3 2"'
loop_
_atom_site_label
_atom_site_type_symbol
_atom_site_fract_x
_atom_site_fract_y
_atom_site_fract_z
Er1 Er 0.0000 0.0000 0.0000
Sc1 Sc 0.0000 0.0000 0.1351
Zn1 Zn 0.0000 0.0000 0.4423
Sn1 Sn 0.0000 0.0000 0.2638
# Fermi-level density of states in states/eV/cell: 20.61
# ΔE_f in kJ/mol of atoms: -31.57
# VASP energy in eV/atom: -4.296


17.
# HfTcAg2 PBE relaxed
data_HfTcAg2
_chemical_formula_sum 'Hf4 Tc4 Ag8'
_cell_length_a 6.571
_cell_length_b 6.571
_cell_length_c 6.571
_cell_angle_alpha 90.00
_cell_angle_beta 90.00
_cell_angle_gamma 90.00
_space_group_name_H-M_alt 'F m -3 m'
_space_group_IT_number 225
_space_group_name_Hall '-F 4 2 3'
loop_
_atom_site_label
_atom_site_type_symbol
_atom_site_fract_x
_atom_site_fract_y
_atom_site_fract_z
Hf1 Hf 0.000 0.000 0.000
Tc1 Tc 0.000 0.000 0.500
Ag1 Ag 0.250 0.250 0.250
# Fermi-level density of states in states/eV/cell: 14.28
# ΔE_f in kJ/mol of atoms: 39.33
# VASP energy in eV/atom: -6.098
# ΔE to the lowest computed polymorph in meV/atom: 0


18.
# TaCdRh PBE relaxed
data_TaCdRh
_chemical_formula_sum 'Ta1 Cd1 Rh1'
_cell_length_a 4.5625
_cell_length_b 4.5625
_cell_length_c 2.8819
_cell_angle_alpha 90.00
_cell_angle_beta 90.00
_cell_angle_gamma 120.00
_space_group_name_H-M_alt 'P 3 m 1'
_space_group_IT_number 156
_space_group_name_Hall 'P 3 -2"'
loop_
_atom_site_label
_atom_site_type_symbol
_atom_site_fract_x
_atom_site_fract_y
_atom_site_fract_z
Ta1 Ta 0.0000 0.0000 0.0000
Cd1 Cd 0.3333 0.6667 0.4426
Rh1 Rh 0.6667 0.3333 0.8155
# Fermi-level density of states in states/eV/cell: 2.35
# ΔE_f in kJ/mol of atoms: -2.00
# VASP energy in eV/atom: -6.727


19.
# SiTeI2F PBE relaxed
data_SiTeI2F
_chemical_formula_sum 'Si1 Te1 I2 F1'
_cell_length_a 5.412
_cell_length_b 5.412
_cell_length_c 5.308
_cell_angle_alpha 90.00
_cell_angle_beta 90.00
_cell_angle_gamma 90.00
_space_group_name_H-M_alt 'P 4/m m m'
_space_group_IT_number 123
_space_group_name_Hall '-P 4 2'
loop_
_atom_site_label
_atom_site_type_symbol
_atom_site_fract_x
_atom_site_fract_y
_atom_site_fract_z
Si1 Si 0.000 0.000 0.000
Te1 Te 0.000 0.000 0.500
I1 I 0.000 0.500 0.000
F1 F 0.500 0.500 0.500
# Fermi-level density of states in states/eV/cell: 7.85
# Uncorrected formation energy in eV/atom: 0.1870
# VASP energy in eV/atom: -2.520
# ΔE to the lowest computed polymorph in meV/atom: 491


20.
# Sc5Bi2Sb2 PBE relaxed
data_Sc5Bi2Sb2
_chemical_formula_sum 'Sc20 Bi8 Sb8'
_cell_length_a 14.684
_cell_length_b 7.808
_cell_length_c 7.818
_cell_angle_alpha 90.00
_cell_angle_beta 90.00
_cell_angle_gamma 90.00
_space_group_name_H-M_alt 'C m c e'
_space_group_IT_number 64
_space_group_name_Hall '-C 2ac 2'
loop_
_atom_site_label
_atom_site_type_symbol
_atom_site_fract_x
_atom_site_fract_y
_atom_site_fract_z
Sc1 Sc 0.000 0.000 0.000
Sc2 Sc 0.131 0.155 0.342
Bi1 Bi 0.203 0.000 0.000
Sb1 Sb 0.000 0.146 0.645
# Fermi-level density of states in states/eV/cell: 41.37
# Uncorrected formation energy in eV/atom: -0.7661
# VASP energy in eV/atom: -6.062